VASP calculation (GGA-PBEsol) on a geometry-optimized ZrPbCl4 structure.

a b c (Å): 5.7095 5.7095 5.7095
angles (deg): 60.00 60.00 60.00
Fractional coordinates of all 6 atoms:
Zr 0.0000 0.0000 0.0000
Pb 0.7500 0.7500 0.7500
Cl 0.3740 0.3740 0.3740
Cl 0.3740 0.3740 0.8779
Cl 0.3740 0.8779 0.3740
Cl 0.8779 0.3740 0.3740

Output
The value obtained for the magnetization is 0.275 μB/atom. The calculation puts the formation energy without anion corrections at 0.164 eV/atom. Its space-group type is No. 216. The total DFT energy (no corrections) comes out at -3.36 eV per atom. As for the density: 5.555 g/cm³.